Entry from Alexandria via LeMat-Bulk: an optimized crystal structure of BeOsRu2 (PBE).

Output
E_form in eV/atom: 0.155

Cell and atoms, written as CIF:
```
data_BeOsRu2
_space_group_name_H-M_alt 'I 4/m m m'
_space_group_IT_number 139
_space_group_name_Hall '-I 4 2'
_cell_length_a 3.6545
_cell_length_b 3.6545
_cell_length_c 7.8062
_cell_angle_alpha 90.00
_cell_angle_beta 90.00
_cell_angle_gamma 90.00
loop_
_atom_site_label
_atom_site_type_symbol
_atom_site_fract_x
_atom_site_fract_y
_atom_site_fract_z
Be1 Be 0.0000 0.0000 0.0000
Os1 Os 0.0000 0.0000 0.5000
Ru1 Ru 0.0000 0.5000 0.2500
```



Entry from Alexandria via LeMat-Bulk: an optimized crystal structure of Al3OsBr (PBE).

Output
Formation energy from raw total energies in eV per atom: 1.634

Cell and atoms, written as CIF:
```
data_Al3OsBr
_space_group_name_H-M_alt 'P m -3 m'
_space_group_IT_number 221
_space_group_name_Hall '-P 4 2 3'
_cell_length_a 4.7670
_cell_length_b 4.7670
_cell_length_c 4.7670
_cell_angle_alpha 90.00
_cell_angle_beta 90.00
_cell_angle_gamma 90.00
loop_
_atom_site_label
_atom_site_type_symbol
_atom_site_fract_x
_atom_site_fract_y
_atom_site_fract_z
Al1 Al 0.0000 0.0000 0.5000
Os1 Os 0.5000 0.5000 0.5000
Br1 Br 0.0000 0.0000 0.0000
```



Entry from Alexandria via LeMat-Bulk: an optimized crystal structure of BaOsI2 (PBE).

Output
Formation energy from raw total energies in eV per atom: 0.275

Cell and atoms, written as CIF:
```
data_BaOsI2
_space_group_name_H-M_alt 'I -4 2 d'
_space_group_IT_number 122
_space_group_name_Hall 'I -4 2bw'
_cell_length_a 6.1608
_cell_length_b 6.1608
_cell_length_c 15.9383
_cell_angle_alpha 90.00
_cell_angle_beta 90.00
_cell_angle_gamma 90.00
loop_
_atom_site_label
_atom_site_type_symbol
_atom_site_fract_x
_atom_site_fract_y
_atom_site_fract_z
Ba1 Ba 0.0000 0.0000 0.0000
Os1 Os 0.0000 0.0000 0.5000
I1 I 0.1459 0.2500 0.6250
```



Entry from Alexandria via LeMat-Bulk: an optimized crystal structure of CsInHgSb (PBE).

Output
Formation energy from raw total energies in eV per atom: -0.148

Cell and atoms, written as CIF:
```
data_CsInHgSb
_space_group_name_H-M_alt 'C 1 m 1'
_space_group_IT_number 8
_cell_length_a 13.0703
_cell_length_b 4.5311
_cell_length_c 5.7801
_cell_angle_alpha 90.00
_cell_angle_beta 105.19
_cell_angle_gamma 90.00
loop_
_space_group_symop_operation_xyz
'x,y,z'
'x,-y,z'
'x+1/2,y+1/2,z'
'x+1/2,-y+1/2,z'
loop_
_atom_site_label
_atom_site_type_symbol
_atom_site_fract_x
_atom_site_fract_y
_atom_site_fract_z
Cs1 Cs 0.0000 0.0000 0.0000
In1 In 0.1683 0.5000 0.6454
Hg1 Hg 0.2457 0.5000 0.1621
Sb1 Sb 0.2964 0.0000 0.5150
```



Entry from Alexandria via LeMat-Bulk: an optimized crystal structure of KBaScSn2 (PBE).

Output
E_form in eV/atom: 0.817

Cell and atoms, written as CIF:
```
data_KBaScSn2
_space_group_name_H-M_alt 'P 4/m m m'
_space_group_IT_number 123
_space_group_name_Hall '-P 4 2'
_cell_length_a 5.8788
_cell_length_b 5.8788
_cell_length_c 5.7921
_cell_angle_alpha 90.00
_cell_angle_beta 90.00
_cell_angle_gamma 90.00
loop_
_atom_site_label
_atom_site_type_symbol
_atom_site_fract_x
_atom_site_fract_y
_atom_site_fract_z
K1 K 0.0000 0.0000 0.0000
Ba1 Ba 0.0000 0.0000 0.5000
Sc1 Sc 0.5000 0.5000 0.5000
Sn1 Sn 0.0000 0.5000 0.0000
```



Entry from Alexandria via LeMat-Bulk: an optimized crystal structure of CsPr2USe5 (PBE).

Output
Formation energy from raw total energies in eV per atom: -1.512

Cell and atoms, written as CIF:
```
data_CsPr2USe5
_space_group_name_H-M_alt 'I m m m'
_space_group_IT_number 71
_space_group_name_Hall '-I 2 2'
_cell_length_a 5.3308
_cell_length_b 7.6940
_cell_length_c 14.5921
_cell_angle_alpha 90.00
_cell_angle_beta 90.00
_cell_angle_gamma 90.00
loop_
_atom_site_label
_atom_site_type_symbol
_atom_site_fract_x
_atom_site_fract_y
_atom_site_fract_z
Cs1 Cs 0.0000 0.0000 0.0000
Pr1 Pr 0.0000 0.5000 0.2044
U1 U 0.0000 0.0000 0.5000
Se1 Se 0.0000 0.2341 0.3478
Se2 Se 0.0000 0.5000 0.0000
```



Entry from Alexandria via LeMat-Bulk: an optimized crystal structure of Pu2SbPt (PBE).

Output
Formation energy from raw total energies in eV per atom: -0.686

Cell and atoms, written as CIF:
```
data_Pu2SbPt
_space_group_name_H-M_alt 'P 1 21/m 1'
_space_group_IT_number 11
_cell_length_a 6.3277
_cell_length_b 4.9054
_cell_length_c 6.3965
_cell_angle_alpha 90.00
_cell_angle_beta 109.27
_cell_angle_gamma 90.00
loop_
_space_group_symop_operation_xyz
'x,y,z'
'-x,-y,-z'
'-x,y+1/2,-z'
'x,-y+1/2,z'
loop_
_atom_site_label
_atom_site_type_symbol
_atom_site_fract_x
_atom_site_fract_y
_atom_site_fract_z
Pu1 Pu 0.1096 0.2500 0.3781
Pu2 Pu 0.3585 0.7500 0.2467
Sb1 Sb 0.1964 0.2500 0.8986
Pt1 Pt 0.3741 0.7500 0.7124
```



Entry from Alexandria via LeMat-Bulk: an optimized crystal structure of CrPb2Se (PBE).

Output
Formation energy from raw total energies in eV per atom: 0.098

Cell and atoms, written as CIF:
```
data_CrPb2Se
_space_group_name_H-M_alt 'I m m 2'
_space_group_IT_number 44
_cell_length_a 3.3789
_cell_length_b 5.5913
_cell_length_c 10.6349
_cell_angle_alpha 90.00
_cell_angle_beta 90.00
_cell_angle_gamma 90.00
loop_
_space_group_symop_operation_xyz
'x,y,z'
'-x,-y,z'
'-x,y,z'
'x,-y,z'
'x+1/2,y+1/2,z+1/2'
'-x+1/2,-y+1/2,z+1/2'
'-x+1/2,y+1/2,z+1/2'
'x+1/2,-y+1/2,z+1/2'
loop_
_atom_site_label
_atom_site_type_symbol
_atom_site_fract_x
_atom_site_fract_y
_atom_site_fract_z
Cr1 Cr 0.0000 0.0000 0.0000
Pb1 Pb 0.0000 0.0000 0.5374
Pb2 Pb 0.0000 0.5000 0.7482
Se1 Se 0.0000 0.5000 0.3327
```



Entry from Alexandria via LeMat-Bulk: an optimized crystal structure of MoAuCl3 (PBE).

Output
Formation energy from raw total energies in eV per atom: 0.064

Cell and atoms, written as CIF:
```
data_MoAuCl3
_space_group_name_H-M_alt 'P m -3 m'
_space_group_IT_number 221
_space_group_name_Hall '-P 4 2 3'
_cell_length_a 4.9631
_cell_length_b 4.9631
_cell_length_c 4.9631
_cell_angle_alpha 90.00
_cell_angle_beta 90.00
_cell_angle_gamma 90.00
loop_
_atom_site_label
_atom_site_type_symbol
_atom_site_fract_x
_atom_site_fract_y
_atom_site_fract_z
Mo1 Mo 0.0000 0.0000 0.0000
Au1 Au 0.5000 0.5000 0.5000
Cl1 Cl 0.0000 0.0000 0.5000
```



Entry from Alexandria via LeMat-Bulk: an optimized crystal structure of LiLa2Ga6Cu (PBE).

Output
E_form in eV/atom: -0.284

Cell and atoms, written as CIF:
```
data_LiLa2Ga6Cu
_space_group_name_H-M_alt 'P -1'
_space_group_IT_number 2
_cell_length_a 6.6606
_cell_length_b 6.6640
_cell_length_c 6.6698
_cell_angle_alpha 119.78
_cell_angle_beta 119.68
_cell_angle_gamma 90.38
loop_
_space_group_symop_operation_xyz
'x,y,z'
'-x,-y,-z'
loop_
_atom_site_label
_atom_site_type_symbol
_atom_site_fract_x
_atom_site_fract_y
_atom_site_fract_z
Li1 Li 0.0000 0.0000 0.0000
La1 La 0.2501 0.7501 0.4998
Ga1 Ga 0.2462 0.2467 0.4928
Ga2 Ga 0.2462 0.7532 0.9995
Ga3 Ga 0.2475 0.2458 0.0000
Cu1 Cu 0.5000 0.5000 0.0000
```



Entry from Alexandria via LeMat-Bulk: an optimized crystal structure of UIrRu (PBE).

Output
E_form in eV/atom: -0.391

Cell and atoms, written as CIF:
```
data_UIrRu
_space_group_name_H-M_alt 'P 63/m m c'
_space_group_IT_number 194
_space_group_name_Hall '-P 6c 2c'
_cell_length_a 4.6136
_cell_length_b 4.6136
_cell_length_c 5.6339
_cell_angle_alpha 90.00
_cell_angle_beta 90.00
_cell_angle_gamma 120.00
loop_
_atom_site_label
_atom_site_type_symbol
_atom_site_fract_x
_atom_site_fract_y
_atom_site_fract_z
U1 U 0.3333 0.6667 0.2500
Ir1 Ir 0.0000 0.0000 0.0000
Ru1 Ru 0.3333 0.6667 0.7500
```



Entry from Alexandria via LeMat-Bulk: an optimized crystal structure of BeHg2Sb (PBE).

Output
Formation energy from raw total energies in eV per atom: 0.316

Cell and atoms, written as CIF:
```
data_BeHg2Sb
_space_group_name_H-M_alt 'R -3 m'
_space_group_IT_number 166
_space_group_name_Hall '-R 3 2"'
_cell_length_a 3.4256
_cell_length_b 3.4256
_cell_length_c 25.2280
_cell_angle_alpha 90.00
_cell_angle_beta 90.00
_cell_angle_gamma 120.00
loop_
_atom_site_label
_atom_site_type_symbol
_atom_site_fract_x
_atom_site_fract_y
_atom_site_fract_z
Be1 Be 0.0000 0.0000 0.0000
Hg1 Hg 0.0000 0.0000 0.2683
Sb1 Sb 0.0000 0.0000 0.5000
```



VASP energy / eV/atom: -8.222, -3.192, -3.789, -2.152, -2.654, -5.859, -10.393, -5.034, -3.866, -3.687, -10.199, -1.797